Run i
Nb3CuOs | PBE | relaxed

a b c (Å): 4.569 4.569 4.569
angles (deg): 90.00 90.00 90.00
Sites, in units of the cell vectors:
Nb 0.000 0.000 0.500
Nb 0.000 0.500 0.000
Nb 0.500 0.000 0.000
Cu 0.000 0.000 0.000
Os 0.500 0.500 0.500

Results
Crystal system ... cubic
Theoretical density ... 9.27 Mg/m³
Symmetry ... No. 221

***

Run ii
Nb3CuOs | PBE | relaxed

a b c (Å): 4.842 4.842 4.842
angles (deg): 90.00 90.00 90.00
Sites, in units of the cell vectors:
Nb 0.000 0.000 0.500
Nb 0.000 0.500 0.000
Nb 0.500 0.000 0.000
Cu 0.500 0.500 0.500
Os 0.000 0.000 0.000

Results
Crystal system ... cubic
Theoretical density ... 7.79 Mg/m³
Symmetry ... No. 221

***

Which of them is most stable, and which least? Most stable: run ii; least stable: run i.

***

Run i
NbCuOsSe2 | PBE | relaxed

a b c (Å): 4.971 4.971 4.964
angles (deg): 90.00 90.00 90.00
Sites, in units of the cell vectors:
Nb 0.000 0.000 0.000
Cu 0.500 0.500 0.500
Os 0.000 0.000 0.500
Se 0.000 0.500 0.000
Se 0.500 0.000 0.000

Results
Crystal system ... tetragonal
Theoretical density ... 6.83 Mg/m³
Symmetry ... No. 123

***

Run ii
NbCuOsSe2 | PBE | relaxed

a b c (Å): 4.497 4.497 4.731
angles (deg): 90.00 90.00 90.00
Sites, in units of the cell vectors:
Nb 0.000 0.000 0.000
Cu 0.000 0.000 0.500
Os 0.500 0.500 0.000
Se 0.000 0.500 0.500
Se 0.500 0.000 0.500

Results
Crystal system ... tetragonal
Theoretical density ... 8.76 Mg/m³
Symmetry ... No. 123

***

Which of them is most stable, and which least? Most stable: run i; least stable: run ii.

***

Run i
NbCuSnOs | PBE | relaxed

a b c (Å): 3.189 4.737 4.935
angles (deg): 101.48 90.23 109.62
Sites, in units of the cell vectors:
Nb 0.000 0.000 0.000
Cu 0.756 0.511 0.270
Sn 0.512 0.026 0.507
Os 0.268 0.540 0.816

Results
Crystal system ... triclinic
Theoretical density ... 11.26 Mg/m³
Symmetry ... No. 1

***

Run ii
NbCuSnOs | PBE | relaxed

a b c (Å): 3.249 3.249 6.333
angles (deg): 90.00 90.00 90.00
Sites, in units of the cell vectors:
Nb 0.000 0.000 0.000
Cu 0.000 0.000 0.558
Sn 0.500 0.500 0.316
Os 0.500 0.500 0.776

Results
Crystal system ... tetragonal
Theoretical density ... 11.56 Mg/m³
Symmetry ... No. 99

***

Run iii
NbCuSnOs | PBE | relaxed

a b c (Å): 4.435 3.189 4.871
angles (deg): 90.00 103.59 90.00
Sites, in units of the cell vectors:
Nb 0.000 0.000 0.000
Cu 0.499 0.000 0.501
Sn 0.999 0.500 0.500
Os 0.500 0.500 0.000

Results
Crystal system ... monoclinic
Theoretical density ... 11.54 Mg/m³
Symmetry ... No. 6

***

Which of them is most stable, and which least? Most stable: run ii; least stable: run iii.